BaSnTeI2 after structural relaxation. Source: Alexandria via LeMat-Bulk, functional PBE.

Summary:
ρ, Mg/m³: 4.79
Magnetic moment, μB per atom: 0.000
E_tot, Ry/atom: -0.237
Energy relative to the lowest polymorph listed for this composition, eV/atom: 0.0000

abc: 5.9974 5.9974 6.1404
angles: 90.00 90.00 90.00
Last column: nearest neighbours and their distance in Å.
Fractional positions:
Ba1 0.0000 0.0000 0.0000  4 Te 4.24, 8 I 4.29
Sn1 0.5000 0.5000 0.5000  4 I 3.00, 2 Te 3.07
Te1 0.5000 0.5000 0.0000  2 Sn 3.07
I1 0.0000 0.5000 0.5000  2 Sn 3.00
I2 0.5000 0.0000 0.5000  2 Sn 3.00